Record 1
## CoSb2Se (PBEsol)

Data for an optimized crystal structure of CoSb2Se.

Lattice parameters (Å, degrees): 5.933 5.933 7.264 114.10 114.10 90.00
Sites, in units of the cell vectors:
Sb  0.444  0.875  0.250
Sb  0.806  0.375  0.250
Sb  0.125  0.194  0.750
Sb  0.625  0.556  0.750
Se  0.250  0.750  0.500
Se  0.000  0.000  0.000
Co  0.750  0.250  0.500
Co  0.500  0.500  0.000

Summary:
space-group type = No. 122
raw formation energy = 0.7 eV per formula unit

***

Record 2
## CoSbSe2 (PBEsol)

Data for an optimized crystal structure of CoSbSe2.

Lattice parameters (Å, degrees): 3.569 3.569 7.422 75.81 75.81 60.01
Sites, in units of the cell vectors:
Sb  0.762  0.762  0.713
Se  0.008  0.008  0.971
Se  0.223  0.223  0.336
Co  0.507  0.507  0.480

Summary:
space-group type = No. 8
raw formation energy = -0.4 eV per formula unit

***

Record 3
## CoSbSe2 (PBEsol)

Data for an optimized crystal structure of CoSbSe2.

Lattice parameters (Å, degrees): 3.953 3.953 5.694 110.31 110.31 90.00
Site moments in Bohr magnetons follow the coordinates.
Sites, in units of the cell vectors:
Co  0.500  0.500  0.000  1.76
Se  0.750  0.250  0.500  0.10
Se  0.000  0.000  0.000  0.07
Sb  0.250  0.750  0.500  -0.05

Summary:
space-group type = No. 119
raw formation energy = 2.1 eV per formula unit

***

Record 4
## CoSbSe2 (PBEsol)

Data for an optimized crystal structure of CoSbSe2.

Lattice parameters (Å, degrees): 4.680 4.680 4.680 60.00 60.00 60.00
Site moments in Bohr magnetons follow the coordinates.
Sites, in units of the cell vectors:
Se  0.000  0.000  0.000  0.06
Se  0.250  0.250  0.250  0.01
Co  0.500  0.500  0.500  1.26
Sb  0.750  0.750  0.750  -0.06

Summary:
space-group type = No. 216
raw formation energy = 2.1 eV per formula unit

***

VASP energy: -5.011 -5.101 -4.478 -4.462 (eV/atom)
Total magnetic moment: 0.00 0.00 0.48 0.29 (μB/atom)
Density of states at the Fermi level: 7.36 3.44 4.94 5.30 (states/eV/cell)